No. 1
DFT (PBE) results for an optimized crystal structure of Ca2NiAg.

```
Ca2NiAg
1.0
3.5263 -1.9707 0.0000
3.5263 1.9707 0.0000
-2.1751 0.0000 7.5417
Ca Ni Ag
2 1 1
Direct
0.2378 0.2378 0.2142
0.7622 0.7622 0.7858
0.5000 0.5000 0.0000
0.0000 0.0000 0.5000
```

Calculated values
**Formation energy from the elements**: 0.11 eV per formula unit
**Magnetic moment**: 0.00 μB per formula unit

---

No. 2
DFT (PBE) results for an optimized crystal structure of Sr3CuI.

```
Sr3CuI
1.0
6.0145 0.0000 0.0000
0.0000 6.0145 0.0000
0.0000 0.0000 6.0145
Sr Cu I
3 1 1
Direct
0.0000 0.0000 0.5000
0.0000 0.5000 0.0000
0.5000 0.0000 0.0000
0.0000 0.0000 0.0000
0.5000 0.5000 0.5000
```

Calculated values
**Raw formation energy**: -0.30 eV/atom
**Distance to the lowest polymorph of the same formula**: 0.000 eV per atom
**Magnetic moment**: 0.00 μB per formula unit

---

No. 3
DFT (PBE) results for an optimized crystal structure of Ba2CaSb4Pd3.

```
Ba2CaSb4Pd3
1.0
4.7932 0.0000 0.0000
0.0000 4.7932 0.0000
0.0000 0.0000 11.8495
Ba Ca Sb Pd
2 1 4 3
Direct
0.0000 0.5000 0.2359
0.5000 0.0000 0.7641
0.0000 0.0000 0.5000
0.0000 0.0000 0.0000
0.0000 0.5000 0.6542
0.5000 0.0000 0.3458
0.5000 0.5000 0.0000
0.0000 0.5000 0.8865
0.5000 0.0000 0.1135
0.5000 0.5000 0.5000
```

Calculated values
**Raw formation energy**: -0.82 eV/atom
**Magnetic moment**: 0.00 μB per formula unit

---

> Which value of magnetic moment does entry 3 give?

0.00 μB per formula unit